VASP calculation (SCAN) on a PBEsol-optimized structure of NiRuPt.

a = 2.665 Å, b = 2.665 Å, c = 6.371 Å
α = 90.00°, β = 90.00°, γ = 120.00°
Fractional coordinates of all 3 atoms:
Ni  0.000  0.000  0.000
Ru  0.667  0.333  0.308
Pt  0.333  0.667  0.664

- uncorrected energy (eV/atom) = -40.325
- calculated formation energy (meV per atom) = 72.6
- magnetic moment (Bohr magnetons per cell) = 0.0
- DOS(E_F) (states/eV per atom) = 1.18